Li4Mn5SbO12: optimized geometry, PBE with a Hubbard U.

```
Li4Mn5SbO12
1.0
2.764 -4.489 0.000
2.764 4.489 0.000
-1.943 0.000 10.488
Li Mn Sb O
4 5 1 12
Direct
0.070 0.422 0.290
0.422 0.070 0.290
0.578 0.930 0.710
0.930 0.578 0.710
0.164 0.836 0.500
0.334 0.666 0.000
0.500 0.500 0.500
0.666 0.334 0.000
0.836 0.164 0.500
0.000 0.000 0.000
0.005 0.341 0.104
0.154 0.154 0.410
0.231 0.595 0.609
0.298 0.298 0.912
0.341 0.005 0.104
0.405 0.769 0.391
0.595 0.231 0.609
0.659 0.995 0.896
0.702 0.702 0.088
0.769 0.405 0.391
0.846 0.846 0.590
0.995 0.659 0.896
```

Space group: C2/m (12)
V in Å³ per cell: 260
Magnetic moment in μB/cell: 20.0
E in eV/atom: -6.616